Entry from the Alexandria database: an optimized crystal structure of BaTaZnC2 (PBE).

Results
Its calculated volume is 21.6 Å³/atom. Its symmetry is No. 123. The formation energy comes out at 3.250 eV/atom.

Lattice parameters (Å, degrees): 4.5340 5.2465 4.5340 90.00 90.00 90.00
Last column: nearest neighbours and their distance in Å.
Fractional positions:
C 0.5000 0.0000 0.0000  2 Ba 2.27
Ta 0.5000 0.5000 0.5000  4 Zn 3.21, 8 C 3.47
Zn 0.0000 0.5000 0.0000  2 Ba 2.62
Ba 0.0000 0.0000 0.0000  4 C 2.27
C 0.0000 0.0000 0.5000  2 Ba 2.27